Computed, not measured: a geometry-optimized Tm2TiGa3 structure at the PBE-GGA level of DFT.

The structure in CIF format:
```
data_Tm2TiGa3
_cell_length_a 7.1424
_cell_length_b 7.1424
_cell_length_c 3.8714
_cell_angle_alpha 90.00
_cell_angle_beta 90.00
_cell_angle_gamma 143.03
_space_group_name_H-M_alt 'P 1'
_space_group_IT_number 1
_space_group_name_Hall 'P 1'
loop_
_atom_site_label
_atom_site_type_symbol
_atom_site_fract_x
_atom_site_fract_y
_atom_site_fract_z
Tm1 Tm 0.1657 0.8343 0.0000
Tm2 Tm 0.8343 0.1657 0.0000
Ti1 Ti 0.5000 0.5000 0.0000
Ga1 Ga 0.0000 0.0000 0.5000
Ga2 Ga 0.3489 0.6511 0.5000
Ga3 Ga 0.6511 0.3489 0.5000
```

Calculated values
Final energy = -28.5 eV for the cell shown